RbGaGe | PBE-GGA | relaxed

Crystal system   orthorhombic
Final energy   -0.109 Ha/atom
E_form   -100 meV/atom
Density   4.00 Mg/m³
Magnetization   0.0 μB/f.u.

a = 7.256 Å, b = 7.256 Å, c = 7.256 Å
α = 145.22°, β = 73.15°, γ = 117.94°
Fractional coordinates of all 6 atoms:
Rb: 0.000 0.000 0.000
Rb: 0.500 0.000 0.500
Ga: 0.422 0.672 0.750
Ga: 0.578 0.328 0.250
Ge: 0.090 0.340 0.750
Ge: 0.910 0.660 0.250